# 1
! RbMg2Pd2 (PBE, optimized geometry); values from VASP
&SYSTEM
  ibrav = 0, nat = 10, ntyp = 3
/
ATOMIC_SPECIES
Rb 85.47 Rb.upf
Mg 24.30 Mg.upf
Pd 106.42 Pd.upf
ATOMIC_POSITIONS angstrom
Rb 0.0000 0.0000 0.0000
Rb 4.1844 4.1844 0.0000
Mg 1.1123 3.0721 1.5191
Mg 3.0721 7.2564 1.5191
Mg 5.2967 1.1123 1.5191
Mg 7.2564 5.2967 1.5191
Pd 1.2507 5.4351 0.0000
Pd 2.9336 1.2507 0.0000
Pd 5.4351 7.1180 0.0000
Pd 7.1180 2.9336 0.0000
CELL_PARAMETERS angstrom
8.3688 0.0000 0.0000
0.0000 8.3688 0.0000
0.0000 0.0000 3.0382
! Energy relative to the elements ... -0.289 eV per atom
! SG ... No. 127
! D(E_F) ... 3.00 states/eV per cell
! Relative energy among the computed polymorphs ... 0 meV/atom

# 2
! RbAlPd2Rh (PBE, optimized geometry); values from VASP
&SYSTEM
  ibrav = 0, nat = 5, ntyp = 4
/
ATOMIC_SPECIES
Rb 85.47 Rb.upf
Al 26.98 Al.upf
Pd 106.42 Pd.upf
Rh 102.91 Rh.upf
ATOMIC_POSITIONS angstrom
Rb 0.0000 0.0000 0.0000
Al 2.5652 2.5652 0.0000
Pd 0.0000 2.5652 2.3377
Pd 2.5652 0.0000 2.3377
Rh 2.5652 2.5652 2.3377
CELL_PARAMETERS angstrom
5.1304 0.0000 0.0000
0.0000 5.1304 0.0000
0.0000 0.0000 4.6753
! Energy relative to the elements ... 0.388 eV per atom
! SG ... No. 123
! D(E_F) ... 5.20 states/eV per cell

# 3
! LaSiNi2 (PBE, optimized geometry); values from VASP
&SYSTEM
  ibrav = 0, nat = 4, ntyp = 3
/
ATOMIC_SPECIES
La 138.91 La.upf
Si 28.09 Si.upf
Ni 58.69 Ni.upf
ATOMIC_POSITIONS angstrom
La 0.0000 0.0000 0.0000
Si 1.5328 1.6333 4.2260
Ni 0.0000 0.0000 3.2890
Ni 1.5328 1.6333 1.9309
CELL_PARAMETERS angstrom
3.0656 0.0000 0.0000
0.0000 3.2666 0.0000
0.0000 0.0000 6.5878
! SG ... No. 25
! D(E_F) ... 3.68 states/eV per cell
! ΔE_f (raw) ... -22.5 kJ/mol of atoms

# 4
! MgCo2As (PBE, optimized geometry); values from VASP
&SYSTEM
  ibrav = 0, nat = 4, ntyp = 3
/
ATOMIC_SPECIES
Mg 24.30 Mg.upf
Co 58.93 Co.upf
As 74.92 As.upf
ATOMIC_POSITIONS angstrom
Mg 0.0000 0.0000 0.0000
Co 0.0000 1.9510 1.6571
Co 1.9510 0.0000 1.6571
As 1.9510 1.9510 0.0000
CELL_PARAMETERS angstrom
3.9021 0.0000 0.0000
0.0000 3.9021 0.0000
0.0000 0.0000 3.3142
! Energy relative to the elements ... -0.068 eV per atom
! SG ... No. 123
! D(E_F) ... 2.37 states/eV per cell

# 5
! Mg2MnAl2 (PBE, optimized geometry); values from VASP
&SYSTEM
  ibrav = 0, nat = 10, ntyp = 3
/
ATOMIC_SPECIES
Mg 24.30 Mg.upf
Mn 54.94 Mn.upf
Al 26.98 Al.upf
ATOMIC_POSITIONS angstrom
Mg 1.1373 2.2253 0.0000
Mg 2.2253 5.5879 0.0000
Mg 4.5000 1.1373 0.0000
Mg 5.5879 4.5000 0.0000
Mn 0.0000 0.0000 2.1260
Mn 3.3626 3.3626 2.1260
Al 0.9290 4.2917 2.1260
Al 2.4336 0.9290 2.1260
Al 4.2917 5.7962 2.1260
Al 5.7962 2.4336 2.1260
CELL_PARAMETERS angstrom
6.7253 0.0000 0.0000
0.0000 6.7253 0.0000
0.0000 0.0000 4.2521
! Energy relative to the elements ... 0.156 eV per atom
! SG ... No. 127
! D(E_F) ... 6.13 states/eV per cell
! Relative energy among the computed polymorphs ... 0 meV/atom

# 6
! MgZn2SnRh4 (PBE, optimized geometry); values from VASP
&SYSTEM
  ibrav = 0, nat = 8, ntyp = 4
/
ATOMIC_SPECIES
Mg 24.30 Mg.upf
Zn 65.41 Zn.upf
Sn 118.71 Sn.upf
Rh 102.91 Rh.upf
ATOMIC_POSITIONS angstrom
Mg 0.0000 0.0000 0.0000
Zn 0.0000 0.0000 5.4957
Zn 0.0000 0.0000 16.0473
Sn 0.0000 0.0000 10.7715
Rh 0.0000 0.0000 2.7127
Rh 0.0000 0.0000 8.1109
Rh 0.0000 0.0000 13.4322
Rh 0.0000 0.0000 18.8303
CELL_PARAMETERS angstrom
2.1904 1.2646 7.1810
-2.1904 1.2646 7.1810
0.0000 -2.5293 7.1810
! Energy relative to the elements ... -0.529 eV per atom
! SG ... No. 166
! D(E_F) ... 3.14 states/eV per cell

# 7
! Sm4AgRu (PBE, optimized geometry); values from VASP
&SYSTEM
  ibrav = 0, nat = 12, ntyp = 3
/
ATOMIC_SPECIES
Sm 150.36 Sm.upf
Ag 107.87 Ag.upf
Ru 101.07 Ru.upf
ATOMIC_POSITIONS angstrom
Sm 1.7690 4.2062 5.8856
Sm 1.5321 1.0293 3.6031
Sm 4.2952 4.2062 3.2929
Sm 2.3843 -1.0293 0.5436
Sm 4.5321 1.0293 5.5755
Sm 2.6212 -4.2062 2.8261
Sm 5.3843 -1.0293 2.5159
Sm 5.1474 -4.2062 0.2334
Ag 3.8843 1.6220 1.5298
Ag 3.0321 -1.6220 4.5893
Ru 3.0321 6.3597 4.5893
Ru 3.8843 -6.3597 1.5298
CELL_PARAMETERS angstrom
4.3104 -6.3784 0.0000
4.3104 6.3784 0.0000
-1.7044 0.0000 6.1191
! Energy relative to the elements ... -0.229 eV per atom
! SG ... No. 15
! D(E_F) ... 12.34 states/eV per cell
! Relative energy among the computed polymorphs ... 19 meV/atom

# 8
! Ta2NbSb (PBE, optimized geometry); values from VASP
&SYSTEM
  ibrav = 0, nat = 4, ntyp = 3
/
ATOMIC_SPECIES
Ta 180.95 Ta.upf
Nb 92.91 Nb.upf
Sb 121.76 Sb.upf
ATOMIC_POSITIONS angstrom
Ta 0.0000 2.0880 0.0000
Ta 2.0880 0.0000 0.0000
Nb 0.0000 0.0000 2.1498
Sb 2.0880 2.0880 2.1498
CELL_PARAMETERS angstrom
4.1759 0.0000 0.0000
0.0000 4.1759 0.0000
0.0000 0.0000 4.2996
! SG ... No. 123
! D(E_F) ... 1.56 states/eV per cell
! ΔE_f (raw) ... -3.9 kJ/mol of atoms

# 9
! ReNiPb2 (PBE, optimized geometry); values from VASP
&SYSTEM
  ibrav = 0, nat = 8, ntyp = 3
/
ATOMIC_SPECIES
Re 186.21 Re.upf
Ni 58.69 Ni.upf
Pb 207.20 Pb.upf
ATOMIC_POSITIONS angstrom
Re 0.0000 0.0000 0.0000
Re 0.0000 1.8903 5.1377
Ni 2.0724 0.0000 1.3028
Ni 2.0724 1.8903 6.4405
Pb 0.0000 0.0000 7.3287
Pb 0.0000 1.8903 2.1911
Pb 2.0724 0.0000 4.2366
Pb 2.0724 1.8903 9.3743
CELL_PARAMETERS angstrom
4.1447 0.0000 0.0000
0.0000 3.7805 0.0000
0.0000 0.0000 10.2754
! Energy relative to the elements ... 0.558 eV per atom
! SG ... No. 38
! D(E_F) ... 3.72 states/eV per cell
! Relative energy among the computed polymorphs ... 113 meV/atom

# 10
! SrPrEuNbO6 (PBE, optimized geometry); values from VASP
&SYSTEM
  ibrav = 0, nat = 20, ntyp = 5
/
ATOMIC_SPECIES
Sr 87.62 Sr.upf
Pr 140.91 Pr.upf
Eu 151.96 Eu.upf
Nb 92.91 Nb.upf
O 16.00 O.upf
ATOMIC_POSITIONS angstrom
Sr 0.0910 0.3054 2.0891
Sr 5.8643 5.8124 6.3580
Pr 0.0008 3.0474 0.0000
Pr 2.9768 0.0115 4.2236
Eu 2.8577 3.3660 2.1229
Eu 3.0975 2.7518 6.3243
Nb 0.0321 3.0589 4.2236
Nb 2.9455 0.0000 0.0000
O 0.7105 3.2983 6.1449
O 1.0948 4.7267 3.6956
O 1.3033 4.9778 0.4122
O 1.6575 1.9290 3.7508
O 1.9094 1.6972 0.5366
O 2.3951 0.3081 6.5204
O 3.5602 5.8097 1.9267
O 4.0458 4.4206 7.9106
O 4.2978 4.1888 4.6963
O 4.6520 1.1400 8.0349
O 4.8605 1.3911 4.7515
O 5.2448 2.8195 2.3022
CELL_PARAMETERS angstrom
5.8911 0.0000 0.0000
0.0016 6.0948 0.0000
0.0626 0.0231 8.4471
! SG ... No. 2
! D(E_F) ... 31.94 states/eV per cell
! ΔE_f (raw) ... -285.3 kJ/mol of atoms
! Relative energy among the computed polymorphs ... 0 meV/atom

# 11
! MgScGa2Cu2 (PBE, optimized geometry); values from VASP
&SYSTEM
  ibrav = 0, nat = 6, ntyp = 4
/
ATOMIC_SPECIES
Mg 24.30 Mg.upf
Sc 44.96 Sc.upf
Ga 69.72 Ga.upf
Cu 63.55 Cu.upf
ATOMIC_POSITIONS angstrom
Mg 0.0000 0.0000 0.0000
Sc 0.0000 0.0000 3.0894
Ga 0.0000 2.4777 4.5653
Ga 2.1457 1.2388 1.6136
Cu 0.0000 2.4777 1.5801
Cu 2.1457 1.2388 4.5988
CELL_PARAMETERS angstrom
4.2914 0.0000 0.0000
-2.1457 3.7165 0.0000
0.0000 0.0000 6.1789
! Energy relative to the elements ... -0.365 eV per atom
! SG ... No. 164
! D(E_F) ... 3.22 states/eV per cell

# 12
! Tl4SCl2 (PBE, optimized geometry); values from VASP
&SYSTEM
  ibrav = 0, nat = 14, ntyp = 3
/
ATOMIC_SPECIES
Tl 204.38 Tl.upf
S 32.06 S.upf
Cl 35.45 Cl.upf
ATOMIC_POSITIONS angstrom
Tl 0.0000 0.0000 2.8517
Tl 0.0000 0.0000 13.3372
Tl 0.0000 2.9997 0.0000
Tl 0.0000 2.9997 8.0945
Tl 2.9997 0.0000 0.0000
Tl 2.9997 0.0000 8.0945
Tl 2.9997 2.9997 5.2428
Tl 2.9997 2.9997 10.9462
S 0.0000 0.0000 0.0000
S 2.9997 2.9997 8.0945
Cl 0.0000 0.0000 6.0890
Cl 0.0000 0.0000 10.0999
Cl 2.9997 2.9997 2.0055
Cl 2.9997 2.9997 14.1834
CELL_PARAMETERS angstrom
5.9993 0.0000 0.0000
0.0000 5.9993 0.0000
0.0000 0.0000 16.1889
! SG ... No. 139
! D(E_F) ... 2.46 states/eV per cell
! ΔE_f (raw) ... -47.2 kJ/mol of atoms
! Relative energy among the computed polymorphs ... 158 meV/atom

# 13
! Ac2PbCl8 (PBE, optimized geometry); values from VASP
&SYSTEM
  ibrav = 0, nat = 11, ntyp = 3
/
ATOMIC_SPECIES
Ac 227.00 Ac.upf
Pb 207.20 Pb.upf
Cl 35.45 Cl.upf
ATOMIC_POSITIONS angstrom
Ac 4.4193 4.0906 0.0000
Ac 4.4193 -4.0906 0.0000
Pb 3.6109 0.0000 2.7416
Cl 0.7226 0.0000 1.7245
Cl 1.2048 1.6777 4.9653
Cl 3.6109 2.9554 2.7416
Cl 1.2048 -1.6777 4.9653
Cl 6.0170 1.6777 0.5180
Cl 3.6109 -2.9554 2.7416
Cl 6.0170 -1.6777 0.5180
Cl 6.4992 0.0000 3.7588
CELL_PARAMETERS angstrom
4.4193 -6.4964 0.0000
4.4193 6.4964 0.0000
-1.6169 0.0000 5.4833
! SG ... No. 12
! D(E_F) ... 0.00 states/eV per cell
! ΔE_f (raw) ... -196.0 kJ/mol of atoms
! Relative energy among the computed polymorphs ... 44 meV/atom

# 14
! CeZnPb2 (PBE, optimized geometry); values from VASP
&SYSTEM
  ibrav = 0, nat = 4, ntyp = 3
/
ATOMIC_SPECIES
Ce 140.12 Ce.upf
Zn 65.41 Zn.upf
Pb 207.20 Pb.upf
ATOMIC_POSITIONS angstrom
Ce 0.0000 0.0000 0.0000
Zn 2.3926 2.3926 0.0000
Pb 0.0000 2.3926 2.2932
Pb 2.3926 0.0000 2.2932
CELL_PARAMETERS angstrom
4.7853 0.0000 0.0000
0.0000 4.7853 0.0000
0.0000 0.0000 4.5864
! Energy relative to the elements ... -0.288 eV per atom
! SG ... No. 123
! D(E_F) ... 5.98 states/eV per cell
! Relative energy among the computed polymorphs ... 0 meV/atom

# 15
! KMoPdS2 (PBE, optimized geometry); values from VASP
&SYSTEM
  ibrav = 0, nat = 5, ntyp = 4
/
ATOMIC_SPECIES
K 39.10 K.upf
Mo 95.94 Mo.upf
Pd 106.42 Pd.upf
S 32.06 S.upf
ATOMIC_POSITIONS angstrom
K 0.0000 0.0000 0.0000
Mo 2.4706 2.4706 0.0000
Pd 2.4706 2.4706 2.5188
S 0.0000 2.4706 2.5188
S 2.4706 0.0000 2.5188
CELL_PARAMETERS angstrom
4.9412 0.0000 0.0000
0.0000 4.9412 0.0000
0.0000 0.0000 5.0377
! SG ... No. 123
! D(E_F) ... 4.28 states/eV per cell
! ΔE_f (raw) ... 56.7 kJ/mol of atoms

# 16
! Mg2OsRu (PBE, optimized geometry); values from VASP
&SYSTEM
  ibrav = 0, nat = 4, ntyp = 3
/
ATOMIC_SPECIES
Mg 24.30 Mg.upf
Os 190.23 Os.upf
Ru 101.07 Ru.upf
ATOMIC_POSITIONS angstrom
Mg 0.0000 0.0000 0.0000
Mg 1.5216 0.0000 2.2835
Os 0.0000 2.2178 2.2835
Ru 1.5216 2.2178 0.0000
CELL_PARAMETERS angstrom
3.0433 0.0000 0.0000
0.0000 4.4356 0.0000
0.0000 0.0000 4.5671
! Energy relative to the elements ... 0.224 eV per atom
! SG ... No. 47
! D(E_F) ... 3.58 states/eV per cell
! Relative energy among the computed polymorphs ... 218 meV/atom

# 17
! B5H7 (PBE, optimized geometry); values from VASP
&SYSTEM
  ibrav = 0, nat = 96, ntyp = 2
/
ATOMIC_SPECIES
B 10.81 B.upf
H 1.01 H.upf
ATOMIC_POSITIONS angstrom
B -0.8649 0.9978 2.0957
B -4.9859 4.7027 8.0756
B -4.7520 0.6994 7.9017
B -0.6309 5.0011 1.9217
B -1.5297 1.3722 3.6998
B -5.6507 4.3283 9.6797
B -2.0024 0.0257 4.7106
B -6.1234 5.6748 10.6906
B -0.4262 0.0268 3.5337
B -4.5472 5.6737 9.5137
B 3.2369 2.8506 1.6647
B -0.8841 2.8499 7.6447
B 2.7095 2.8526 3.5607
B -1.4115 2.8478 9.5407
B -0.6391 1.5032 8.7322
B 3.4819 4.1973 2.7523
B 4.8138 2.1260 1.2714
B 0.6927 3.5745 7.2514
B 0.6144 1.8773 7.5310
B 4.7355 3.8232 1.5511
B -0.1852 1.8773 10.4088
B 3.9358 3.8232 4.4289
B 3.8575 2.1260 4.7086
B -0.2635 3.5745 10.6885
B 1.0683 1.5032 9.2076
B 5.1894 4.1973 3.2277
B 5.9618 2.8526 2.4192
B 1.8407 2.8478 8.3992
B 5.4344 2.8506 4.3152
B 1.3133 2.8499 10.2952
B 9.0975 0.0268 2.4462
B 4.9764 5.6737 8.4262
B 10.6737 0.0257 1.2693
B 6.5526 5.6748 7.2493
B 10.2010 1.3722 2.2802
B 6.0799 4.3283 8.2601
B 5.1812 0.6994 10.0382
B 9.3022 5.0011 4.0582
B 9.5362 0.9978 3.8843
B 5.4151 4.7027 9.8642
H -6.4140 1.2233 10.3596
H -2.2929 4.4772 4.3797
H -0.1329 1.7615 1.5470
H -4.2539 3.9390 7.5270
H -3.9400 1.3186 7.2928
H 0.1811 4.3819 1.3129
H -4.7786 1.2227 9.1409
H -0.6576 4.4778 3.1610
H -1.0833 2.3106 4.2954
H -5.2044 3.3899 10.2754
H -5.9154 0.0156 11.8623
H -1.7943 5.6849 5.8823
H 2.3517 2.8047 0.8692
H -1.7693 2.8958 6.8491
H -3.4845 0.0164 10.0500
H 0.6366 5.6841 4.0701
H 1.5420 2.8082 3.7904
H -2.5791 2.8923 9.7704
H -1.3544 0.5634 8.5324
H 2.7667 5.1371 2.5524
H 3.6703 1.6020 1.7497
H -0.4508 4.0985 7.7296
H 5.0845 1.5068 0.2931
H 0.9635 4.1937 6.2731
H 0.8592 1.1138 6.6495
H 4.9802 4.5867 0.6696
H 3.1206 1.6025 3.7120
H -1.0005 4.0980 9.6919
H 5.5507 1.6025 2.2680
H 1.4296 4.0980 8.2480
H -0.4300 1.1138 11.2903
H 3.6910 4.5867 5.3104
H 3.5868 1.5068 5.6868
H -0.5343 4.1937 11.6668
H 5.0010 1.6020 4.2303
H 0.8799 4.0985 10.2102
H 1.7835 0.5634 9.4075
H 5.9046 5.1371 3.4275
H 7.1293 2.8082 2.1895
H 3.0083 2.8923 8.1695
H 3.9137 0.0164 7.8899
H 8.0347 5.6841 1.9099
H 6.3195 2.8047 5.1108
H 2.1985 2.8958 11.0908
H 6.3445 0.0156 6.0776
H 10.4656 5.6849 0.0976
H 9.7546 2.3106 1.6845
H 5.6336 3.3899 7.6645
H 5.2078 1.2227 8.7989
H 9.3289 4.4778 2.8190
H 4.3692 1.3186 10.6471
H 8.4902 4.3819 4.6671
H 8.8042 1.7615 4.4330
H 4.6831 3.9390 10.4129
H 6.8432 1.2233 7.5803
H 10.9642 4.4772 1.6003
CELL_PARAMETERS angstrom
12.7923 0.0000 0.0000
0.0000 5.7005 0.0000
-8.2421 0.0000 11.9599
! SG ... No. 13
! D(E_F) ... 0.00 states/eV per cell
! E_tot ... -4.847 eV/atom

# 18
! Sn2Rh3Se2 (PBE, optimized geometry); values from VASP
&SYSTEM
  ibrav = 0, nat = 7, ntyp = 3
/
ATOMIC_SPECIES
Sn 118.71 Sn.upf
Rh 102.91 Rh.upf
Se 78.96 Se.upf
ATOMIC_POSITIONS angstrom
Sn 0.0000 0.0000 0.0000
Sn 0.0000 0.0000 7.0386
Rh -1.4357 -0.8289 4.6924
Rh -1.4356 0.8289 9.3848
Rh 0.0000 1.6577 4.6924
Se 0.0000 0.0000 2.9102
Se 0.0000 0.0000 11.1670
CELL_PARAMETERS angstrom
2.8713 1.6577 4.6924
-2.8713 1.6577 4.6924
0.0000 -3.3155 4.6924
! SG ... No. 166
! D(E_F) ... 3.60 states/eV per cell
! ΔE_f (raw) ... -41.2 kJ/mol of atoms